Material: Pm2AlZnPt6
Method: DFT, PBE
State: optimized geometry

* D(E_F): 2.46 states/eV per cell
* energy of formation from the pure elements: -0.823 eV/atom
* SG: R-3m
* mass density: 11.983 g/cm3

Unit cell a=5.6545 b=8.4289 c=8.4276 alpha=39.20 beta=70.44 gamma=90.04
Atoms (fractional coordinates):
Pt 0.7554 0.7478 0.9927
Pt 0.2528 0.2451 0.4955
Pt 0.2528 0.7479 0.9928
Pt 0.7472 0.7549 0.5045
Pt 0.7472 0.2521 0.0072
Pt 0.2446 0.2522 0.0073
Pm 0.7964 0.2040 0.4078
Pm 0.2036 0.7960 0.5922
Zn 0.0000 0.0000 0.0000
Al 0.5000 0.5000 0.0000